## SrCl7 (PBE)

Data for a relaxed SrCl7 crystal.

* final energy: -68.1 eV per cell

Cell lengths 9.1818, 9.1818, 9.1818 Å; angles 90.00, 90.00, 90.00 degrees
With the nearest neighbours (Å) after each atom.
Space group Fm-3m (No. 225)
Asymmetric unit:
Sr  0.0000  0.0000  0.0000 x4  12 Cl 3.25
Cl  0.0000  0.0000  0.5000 x4  12 Cl 3.25
Cl  0.0000  0.2500  0.2500 x24  10 Cl 3.25, 2 Sr 3.25